Crystalline ZrReSi at its relaxed geometry. Source: Alexandria, functional PBE-GGA.

abc: 6.6775 4.0389 9.5780
angles: 90.00 128.19 90.00
Closest atoms and distances in Å follow each position.
Atoms (fractional coordinates):
Si1 0.2962 0.0000 0.3415  3 Re 2.48-2.49, 1 Si 2.53, 1 Zr 2.75
Zr1 0.3178 0.5000 0.5639  5 Si 2.75-2.94, 4 Re 2.93-3.05
Re1 0.9242 0.0000 0.3425  3 Si 2.48-2.49, 1 Re 2.52
Si2 0.7038 0.5000 0.1585  3 Re 2.48-2.49, 1 Si 2.53, 1 Zr 2.75
Si3 0.7038 0.0000 0.6585  3 Re 2.48-2.49, 1 Si 2.53, 1 Zr 2.75
Si4 0.2962 0.5000 0.8415  3 Re 2.48-2.49, 1 Si 2.53, 1 Zr 2.75
Zr2 0.6822 0.0000 0.9361  5 Si 2.75-2.94, 4 Re 2.93-3.05
Zr3 0.3178 0.0000 0.0639  5 Si 2.75-2.94, 4 Re 2.93-3.05
Zr4 0.6822 0.5000 0.4361  5 Si 2.75-2.94, 4 Re 2.93-3.05
Re2 0.0758 0.0000 0.6575  3 Si 2.48-2.49, 1 Re 2.52
Re3 0.9242 0.5000 0.8425  3 Si 2.48-2.49, 1 Re 2.52
Re4 0.0758 0.5000 0.1575  3 Si 2.48-2.49, 1 Re 2.52

Output
* mass density: 9.99 g/cm3
* formation energy from raw total energies: -0.589 eV per atom
* magnetic moment: 0.00 μB/f.u.
* final energy: -112.75 eV per cell

Crystalline Ag2SnPt at its relaxed geometry. Source: Alexandria, functional PBE-GGA.

abc: 7.7579 7.7579 6.1085
angles: 50.58 50.58 90.00
Closest atoms and distances in Å follow each position.
Atoms (fractional coordinates):
Pt1 0.0000 0.0000 0.0000  2 Sn 2.69, 4 Ag 2.76
Ag1 0.3750 0.3630 0.7500  2 Ag 2.69, 2 Pt 2.76, 2 Sn 2.89
Ag2 0.1130 0.6250 0.2500  2 Ag 2.69, 2 Pt 2.76, 2 Sn 2.89
Sn1 0.2500 0.7500 0.5000  2 Pt 2.69, 4 Ag 2.89
Ag3 0.6370 0.1250 0.2500  2 Ag 2.69, 2 Pt 2.76, 2 Sn 2.89
Pt2 0.7500 0.2500 0.5000  2 Sn 2.69, 4 Ag 2.76
Ag4 0.8750 0.8870 0.7500  2 Ag 2.69, 2 Pt 2.76, 2 Sn 2.89
Sn2 0.5000 0.5000 0.0000  2 Pt 2.69, 4 Ag 2.89

Output
* mass density: 10.87 g/cm3
* magnetic moment: 0.00 μB/f.u.
* E_form: 0.0979 eV per atom
* final energy: -30.71 eV per cell

Crystalline TmNiBRh2 at its relaxed geometry. Source: Alexandria, functional PBE-GGA.

abc: 3.9720 4.1916 4.1916
angles: 90.00 90.00 90.00
Closest atoms and distances in Å follow each position.
Atoms (fractional coordinates):
Ni1 0.5000 0.0000 0.0000  2 B 1.99
Tm1 0.5000 0.5000 0.5000  8 Rh 2.89, 4 Ni 2.96
Rh1 0.0000 0.5000 0.0000  2 B 2.10
Rh2 0.0000 0.0000 0.5000  2 B 2.10
B1 0.0000 0.0000 0.0000  2 Ni 1.99, 4 Rh 2.10

Output
* mass density: 10.57 g/cm3
* magnetic moment: 0.00 μB/f.u.
* E_form: -0.7665 eV per atom
* final energy: -35.47 eV per cell

Crystalline Ca2Pu2Sb2P at its relaxed geometry. Source: Alexandria, functional PBE-GGA.

abc: 5.2261 5.2261 8.9196
angles: 107.03 107.03 90.00
Closest atoms and distances in Å follow each position.
Atoms (fractional coordinates):
Pu1 0.5000 0.0000 0.0000  2 P 2.61
Sb1 0.6309 0.6309 0.2619  1 Ca 3.14, 4 Pu 3.37
Ca1 0.8244 0.8244 0.6489  1 P 2.85, 1 Sb 3.14
Sb2 0.3691 0.3691 0.7381  1 Ca 3.14, 4 Pu 3.37
Pu2 0.0000 0.5000 0.0000  2 P 2.61
Ca2 0.1756 0.1756 0.3511  1 P 2.85, 1 Sb 3.14
P1 0.0000 0.0000 0.0000  4 Pu 2.61, 2 Ca 2.85

Output
* mass density: 6.31 g/cm3
* formation energy from raw total energies: -0.792 eV per atom
* magnetic moment: 10.98 μB/f.u.
* final energy: -51.87 eV per cell

Crystalline RhPb3W at its relaxed geometry. Source: Alexandria, functional PBE-GGA.

abc: 5.3536 5.3536 5.3536
angles: 90.00 90.00 90.00
Closest atoms and distances in Å follow each position.
Atoms (fractional coordinates):
Pb1 0.5000 0.0000 0.0000  2 W 2.68
Rh1 0.5000 0.5000 0.5000  12 Pb 3.79
Pb2 0.0000 0.5000 0.0000  2 W 2.68
W1 0.0000 0.0000 0.0000  6 Pb 2.68
Pb3 0.0000 0.0000 0.5000  2 W 2.68

Output
* mass density: 9.83 g/cm3
* magnetic moment: 1.56 μB/f.u.
* energy above the lowest structure with this stoichiometry: 9 kJ/mol of formula units
* E_form: 1.2362 eV per atom
* final energy: -25.25 eV per cell

Crystalline CdPbBr2 at its relaxed geometry. Source: Alexandria, functional PBE-GGA.

abc: 5.4828 5.4828 5.4828
angles: 60.00 60.00 60.00
Closest atoms and distances in Å follow each position.
Atoms (fractional coordinates):
Br1 0.7500 0.7500 0.7500  4 Cd 3.36, 4 Br 3.36
Cd1 0.5000 0.5000 0.5000  4 Br 3.36, 4 Pb 3.36
Br2 0.0000 0.0000 0.0000  4 Pb 3.36, 4 Br 3.36
Pb1 0.2500 0.2500 0.2500  4 Br 3.36, 4 Cd 3.36

Output
* mass density: 6.83 g/cm3
* formation energy from raw total energies: -0.230 eV per atom
* magnetic moment: 0.00 μB/f.u.
* energy above the lowest structure with this stoichiometry: 119 kJ/mol of formula units
* final energy: -8.89 eV per cell

Crystalline MgCoReW2 at its relaxed geometry. Source: Alexandria, functional PBE-GGA.

abc: 4.4819 4.4819 4.4844
angles: 90.00 90.00 90.00
Closest atoms and distances in Å follow each position.
Atoms (fractional coordinates):
Co1 0.0000 0.0000 0.0000  4 W 2.24, 2 Re 2.24
Re1 0.0000 0.0000 0.5000  2 Co 2.24
W1 0.5000 0.0000 0.0000  2 Co 2.24
W2 0.0000 0.5000 0.0000  2 Co 2.24
Mg1 0.5000 0.5000 0.5000  4 Re 3.17, 8 W 3.17

Output
* mass density: 11.74 g/cm3
* magnetic moment: 0.00 μB/f.u.
* E_form: 1.3371 eV per atom
* final energy: -40.37 eV per cell

Crystalline AcSO4F2 at its relaxed geometry. Source: Alexandria, functional PBE-GGA.

abc: 5.6856 5.6856 5.4072
angles: 125.17 125.17 84.52
Closest atoms and distances in Å follow each position.
Atoms (fractional coordinates):
O1 0.5445 0.5445 0.8101  1 S 1.48
O2 0.8316 0.5250 0.3566  1 S 1.51
F1 0.1177 0.6177 0.2354  2 O 2.27
O3 0.2656 0.2656 0.8101  1 S 1.48
O4 0.5250 0.8316 0.3566  1 S 1.51
F2 0.6177 0.1177 0.2354  2 O 2.27
Ac1 0.0608 0.0608 0.1216  6 O 2.62-2.85, 4 F 2.87
S1 0.5374 0.5374 0.0749  4 O 1.48-1.51

Output
* mass density: 5.49 g/cm3
* formation energy from raw total energies: -2.000 eV per atom
* magnetic moment: 1.02 μB/f.u.
* final energy: -47.81 eV per cell

Crystalline TaRe2SbCl at its relaxed geometry. Source: Alexandria, functional PBE-GGA.

abc: 4.9489 4.8656 4.9489
angles: 90.00 90.00 90.00
Closest atoms and distances in Å follow each position.
Atoms (fractional coordinates):
Sb1 0.0000 0.0000 0.0000  2 Cl 2.43, 4 Re 2.47
Ta1 0.5000 0.5000 0.5000  8 Re 3.47, 4 Cl 3.50
Cl1 0.0000 0.5000 0.0000  2 Sb 2.43
Re1 0.5000 0.0000 0.0000  2 Sb 2.47
Re2 0.0000 0.0000 0.5000  2 Sb 2.47

Output
* mass density: 9.90 g/cm3
* formation energy from raw total energies: 2.378 eV per atom
* magnetic moment: 1.11 μB/f.u.
* final energy: -30.83 eV per cell